# Tm6Mg2Ir

A relaxed Tm6Mg2Ir crystal (GGA-PBE, Alexandria via LeMat-Bulk).

Output
Formation energy from the elements (eV/atom): -0.018
E_tot (eV/atom): -4.338

The structure in POSCAR format:
```
Tm6Mg2Ir
1.0
-2.723 4.188 5.621
2.723 -4.188 5.621
2.723 4.188 -5.621
Tm Mg Ir
6 2 1
direct
0.109 0.345 0.764 Tm
0.178 0.000 0.178 Tm
0.419 0.655 0.764 Tm
0.581 0.345 0.236 Tm
0.822 0.000 0.822 Tm
0.891 0.655 0.236 Tm
0.362 0.862 0.500 Mg
0.638 0.138 0.500 Mg
0.000 0.500 0.500 Ir
```

***

# Ca2DySi3Au12

A relaxed Ca2DySi3Au12 crystal (GGA-PBE, Alexandria via LeMat-Bulk).

Output
Uncorrected formation energy (eV/atom): -0.198
E_tot (eV/atom): -3.764

The structure in POSCAR format:
```
Ca2DySi3Au12
1.0
4.474 2.583 5.907
-4.474 2.583 5.907
0.000 -5.166 5.907
Ca Dy Si Au
2 1 3 12
direct
0.094 0.094 0.094 Ca
0.906 0.906 0.906 Ca
0.500 0.500 0.500 Dy
0.000 0.500 0.500 Si
0.500 0.000 0.500 Si
0.500 0.500 0.000 Si
0.104 0.655 0.655 Au
0.197 0.197 0.650 Au
0.197 0.650 0.197 Au
0.345 0.345 0.896 Au
0.345 0.896 0.345 Au
0.350 0.803 0.803 Au
0.650 0.197 0.197 Au
0.655 0.104 0.655 Au
0.655 0.655 0.104 Au
0.803 0.350 0.803 Au
0.803 0.803 0.350 Au
0.896 0.345 0.345 Au
```

***

Which of these has the lowest E_tot? Tm6Mg2Ir